1.
MgZnSe3 after structural relaxation, computed with PBE-GGA.

Results
Raw total energy   -2.412 eV per atom
Space group   Pm-3m
Energy relative to the lowest polymorph listed for this composition   649.6 meV per atom
Uncorrected formation energy   0.2525 eV per atom

a = 5.053 Å, b = 5.053 Å, c = 5.053 Å
α = 90.00°, β = 90.00°, γ = 90.00°
Fractional positions:
Mg 0.000 0.000 0.000
Zn 0.500 0.500 0.500
Se 0.000 0.000 0.500
Se 0.000 0.500 0.000
Se 0.500 0.000 0.000

2.
BaAl9Ni2 after structural relaxation, computed with PBE-GGA.

Results
Raw total energy   -4.301 eV per atom
Space group   P6/mmm
Energy relative to the elements   -4.45 eV per formula unit

a = 7.974 Å, b = 7.974 Å, c = 3.967 Å
α = 90.00°, β = 90.00°, γ = 120.00°
Fractional positions:
Ba 0.000 0.000 0.000
Al 0.000 0.500 0.000
Al 0.214 0.427 0.500
Al 0.214 0.786 0.500
Al 0.427 0.214 0.500
Al 0.500 0.000 0.000
Al 0.500 0.500 0.000
Al 0.573 0.786 0.500
Al 0.786 0.214 0.500
Al 0.786 0.573 0.500
Ni 0.333 0.667 0.000
Ni 0.667 0.333 0.000

3.
Cs3Ce3PaSe8 after structural relaxation, computed with PBE-GGA.

Results
Raw total energy   -5.473 eV per atom
Space group   R-3m
Uncorrected formation energy   -1.6242 eV per atom

a = 9.901 Å, b = 9.901 Å, c = 9.901 Å
α = 52.25°, β = 52.25°, γ = 52.25°
Fractional positions:
Cs 0.000 0.500 0.500
Cs 0.500 0.000 0.500
Cs 0.500 0.500 0.000
Ce 0.000 0.000 0.500
Ce 0.000 0.500 0.000
Ce 0.500 0.000 0.000
Pa 0.500 0.500 0.500
Se 0.229 0.229 0.229
Se 0.240 0.721 0.721
Se 0.279 0.279 0.760
Se 0.279 0.760 0.279
Se 0.721 0.240 0.721
Se 0.721 0.721 0.240
Se 0.760 0.279 0.279
Se 0.771 0.771 0.771